# Y2InP (PBE, optimized geometry)
data_Y2InP
_chemical_formula_sum 'Y4 In2 P2'
_cell_length_a 4.109
_cell_length_b 5.727
_cell_length_c 8.610
_cell_angle_alpha 90.00
_cell_angle_beta 90.00
_cell_angle_gamma 90.00
_space_group_name_H-M_alt 'I m m m'
_space_group_IT_number 71
_space_group_name_Hall '-I 2 2'
loop_
_atom_site_label
_atom_site_fract_x
_atom_site_fract_y
_atom_site_fract_z
Y1 0.000 0.000 0.218
In1 0.000 0.500 0.000
P1 0.000 0.500 0.500
# **Uncorrected energy**: -5.92 eV/atom
# **Offset from the most stable computed form**: 359 meV per atom